[1]
Crystalline Ti3TlFe at its relaxed geometry. Source: Alexandria, functional GGA-PBE.

Results
DOS at the Fermi energy = 8.7 states/eV/cell
energy of formation = 1.01 eV per formula unit
ρ = 7.19 g/cm3
final energy = -33.5 eV per cell

Lattice parameters (Å, degrees): 4.5347 4.5347 4.5347 90.00 90.00 90.00
Positions (direct):
Tl (0.5000, 0.5000, 0.5000)
Fe (0.0000, 0.0000, 0.0000)
Ti (0.0000, 0.5000, 0.0000)
Ti (0.0000, 0.0000, 0.5000)
Ti (0.5000, 0.0000, 0.0000)

=====

[2]
Crystalline Ti4TlFe at its relaxed geometry. Source: Alexandria, functional GGA-PBE.

Results
DOS at the Fermi energy = 7.9 states/eV/cell
energy of formation = -0.59 eV per formula unit
ρ = 7.40 g/cm3
final energy = -86.0 eV per cell

Lattice parameters (Å, degrees): 4.1982 4.1983 11.5069 90.00 90.00 90.00
Positions (direct):
Ti (0.0000, 0.5000, 0.2058)
Ti (0.5000, 0.0000, 0.7942)
Ti (0.5000, 0.5000, 0.3714)
Ti (0.0000, 0.0000, 0.6286)
Ti (0.0000, 0.5000, 0.7942)
Ti (0.5000, 0.0000, 0.2058)
Ti (0.5000, 0.5000, 0.6286)
Ti (0.0000, 0.0000, 0.3714)
Tl (0.0000, 0.0000, 0.0000)
Tl (0.5000, 0.5000, 0.0000)
Fe (0.5000, 0.0000, 0.5000)
Fe (0.0000, 0.5000, 0.5000)

=====

[3]
Crystalline TiTlFe4 at its relaxed geometry. Source: Alexandria, functional GGA-PBE.

Results
DOS at the Fermi energy = 2.4 states/eV/cell
energy of formation = 0.12 eV per formula unit
ρ = 9.57 g/cm3
final energy = -44.0 eV per cell

Lattice parameters (Å, degrees): 4.8878 4.8878 4.8878 60.00 60.00 60.00
Positions (direct):
Tl (0.2500, 0.2500, 0.2500)
Fe (0.6249, 0.6249, 0.1253)
Fe (0.6249, 0.1253, 0.6249)
Fe (0.6249, 0.6249, 0.6249)
Fe (0.1253, 0.6249, 0.6249)
Ti (0.0000, 0.0000, 0.0000)

=====

[4]
Crystalline TiTlFe2 at its relaxed geometry. Source: Alexandria, functional GGA-PBE.

Results
DOS at the Fermi energy = 9.7 states/eV/cell
energy of formation = 2.58 eV per formula unit
ρ = 8.68 g/cm3
final energy = -49.2 eV per cell

Lattice parameters (Å, degrees): 3.8918 3.8918 9.5948 78.30 78.30 90.00
Positions (direct):
Tl (0.0000, 0.0000, 0.0000)
Tl (0.7500, 0.2500, 0.5000)
Fe (0.5843, 0.1250, 0.2500)
Fe (0.1657, 0.6250, 0.2500)
Fe (0.3750, 0.4157, 0.7500)
Fe (0.8750, 0.8343, 0.7500)
Ti (0.5000, 0.5000, 0.0000)
Ti (0.2500, 0.7500, 0.5000)

=====

[5]
Crystalline TmTi2Fe9 at its relaxed geometry. Source: Alexandria, functional GGA-PBE.

Results
DOS at the Fermi energy = 10.5 states/eV/cell
energy of formation = -2.30 eV per formula unit
ρ = 7.95 g/cm3
final energy = -98.7 eV per cell

Lattice parameters (Å, degrees): 4.8653 4.8653 8.3066 72.97 72.97 60.00
Positions (direct):
Tm (0.0000, 0.0000, 0.0000)
Ti (0.8552, 0.8552, 0.4343)
Ti (0.1448, 0.1448, 0.5657)
Fe (0.6667, 0.6667, 0.9998)
Fe (0.3333, 0.3333, 0.0002)
Fe (0.5000, 0.5000, 0.5000)
Fe (0.4116, 0.4116, 0.2592)
Fe (0.9176, 0.4116, 0.2592)
Fe (0.4116, 0.9176, 0.2592)
Fe (0.5884, 0.5884, 0.7408)
Fe (0.5884, 0.0824, 0.7408)
Fe (0.0824, 0.5884, 0.7408)

=====

[6]
Crystalline TmTiFe10 at its relaxed geometry. Source: Alexandria, functional GGA-PBE.

Results
DOS at the Fermi energy = 11.7 states/eV/cell
energy of formation = -0.19 eV per formula unit
ρ = 8.06 g/cm3
final energy = -97.2 eV per cell

Lattice parameters (Å, degrees): 3.9783 4.8181 8.3306 90.00 90.00 90.00
Positions (direct):
Tm (0.0000, 0.0000, 0.0000)
Ti (0.0000, 0.5000, 0.5000)
Fe (0.0000, 0.0000, 0.3424)
Fe (0.0000, 0.5000, 0.8213)
Fe (0.0000, 0.5000, 0.1787)
Fe (0.0000, 0.0000, 0.6576)
Fe (0.5000, 0.0000, 0.5000)
Fe (0.5000, 0.5000, 0.0000)
Fe (0.5000, 0.2516, 0.2561)
Fe (0.5000, 0.7484, 0.7439)
Fe (0.5000, 0.7484, 0.2561)
Fe (0.5000, 0.2516, 0.7439)